Here is a relaxed Rb3Tl3Pt2 crystal from the Alexandria database. Energies are from PBE-GGA.

## Properties
The value obtained for the formation energy is -0.1562 eV per atom. The theoretical density comes out at 7.60 g/cm3. The crystal system is orthorhombic. As for the total energy: -23.33 eV per formula unit. The value obtained for the energy above the most stable polymorph in this dataset is 0 meV/atom. The value obtained for the size of the total moment is 0.00 μB/f.u.

Cell: 7.021 7.021 17.023 Å, 90.00 90.00 139.03°
Positions (direct):
Rb 0.063 0.937 0.606
Rb 0.063 0.937 0.894
Rb 0.384 0.616 0.750
Rb 0.616 0.384 0.250
Rb 0.937 0.063 0.106
Rb 0.937 0.063 0.394
Tl 0.318 0.682 0.250
Tl 0.339 0.661 0.538
Tl 0.339 0.661 0.962
Tl 0.661 0.339 0.038
Tl 0.661 0.339 0.462
Tl 0.682 0.318 0.750
Pt 0.222 0.778 0.106
Pt 0.222 0.778 0.394
Pt 0.778 0.222 0.606
Pt 0.778 0.222 0.894



Here is a relaxed PPtNCl2 crystal from the Alexandria database. Energies are from PBE-GGA.

## Properties
The theoretical density comes out at 4.75 g/cm3. The crystal system is tetragonal. As for the total energy: -15.66 eV per formula unit. The value obtained for the energy above the most stable polymorph in this dataset is 210 meV/atom. The uncorrected formation energy comes out at 753.4 kJ/mol of formula units. The value obtained for the size of the total moment is 0.00 μB/f.u.

Cell: 4.882 4.882 4.562 Å, 90.00 90.00 90.00°
Positions (direct):
P 0.000 0.000 0.000
Pt 0.000 0.000 0.500
N 0.500 0.500 0.000
Cl 0.000 0.500 0.500
Cl 0.500 0.000 0.500



Here is a relaxed Ca2MgTa crystal from the Alexandria database. Energies are from PBE-GGA.

## Properties
The value obtained for the formation energy is 0.6624 eV per atom. The theoretical density comes out at 4.41 g/cm3. The crystal system is tetragonal. As for the total energy: -14.80 eV per formula unit. The value obtained for the size of the total moment is 1.84 μB/f.u.

Cell: 5.848 5.848 5.848 Å, 132.22 132.22 69.89°
Positions (direct):
Ca 0.250 0.750 0.500
Ca 0.750 0.250 0.500
Mg 0.000 0.000 0.000
Ta 0.500 0.500 0.000



Here is a relaxed UNbO5 crystal from the Alexandria database. Energies are from PBE-GGA.

## Properties
The theoretical density comes out at 6.72 g/cm3. The crystal system is orthorhombic. As for the total energy: -66.33 eV per formula unit. The value obtained for the energy above the most stable polymorph in this dataset is 0 meV/atom. The uncorrected formation energy comes out at -1947.5 kJ/mol of formula units. The value obtained for the size of the total moment is 1.00 μB/f.u.

Cell: 7.533 4.139 13.032 Å, 90.00 90.00 90.00°
Positions (direct):
U 0.250 0.000 0.022
U 0.250 0.000 0.522
U 0.750 0.000 0.478
U 0.750 0.000 0.978
Nb 0.000 0.083 0.250
Nb 0.000 0.917 0.750
Nb 0.500 0.083 0.750
Nb 0.500 0.917 0.250
O 0.000 0.483 0.750
O 0.000 0.517 0.250
O 0.047 0.014 0.403
O 0.047 0.986 0.903
O 0.250 0.000 0.205
O 0.250 0.000 0.705
O 0.250 0.500 0.025
O 0.250 0.500 0.525
O 0.453 0.014 0.903
O 0.453 0.986 0.403
O 0.500 0.483 0.250
O 0.500 0.517 0.750
O 0.547 0.014 0.597
O 0.547 0.986 0.097
O 0.750 0.000 0.295
O 0.750 0.000 0.795
O 0.750 0.500 0.475
O 0.750 0.500 0.975
O 0.953 0.014 0.097
O 0.953 0.986 0.597



Here is a relaxed SmLuMn crystal from the Alexandria database. Energies are from PBE-GGA.

## Properties
The value obtained for the formation energy is 0.1588 eV per atom. The theoretical density comes out at 8.25 g/cm3. The crystal system is tetragonal. As for the total energy: -17.93 eV per formula unit. The value obtained for the size of the total moment is 2.76 μB/f.u.

Cell: 6.786 6.786 6.786 Å, 150.30 150.30 42.50°
Positions (direct):
Sm 0.000 0.000 0.000
Lu 0.275 0.275 0.000
Mn 0.645 0.645 0.000



Here is a relaxed AlNiAgSe crystal from the Alexandria database. Energies are from PBE-GGA.

## Properties
The theoretical density comes out at 6.93 g/cm3. The crystal system is tetragonal. As for the total energy: -16.24 eV per formula unit. The value obtained for the energy above the most stable polymorph in this dataset is 138 meV/atom. The uncorrected formation energy comes out at -36.7 kJ/mol of formula units. The value obtained for the size of the total moment is 0.00 μB/f.u.

Cell: 3.317 3.317 5.932 Å, 90.00 90.00 90.00°
Positions (direct):
Al 0.000 0.000 0.000
Ni 0.500 0.500 0.172
Ag 0.000 0.000 0.441
Se 0.500 0.500 0.770